Computed, not measured: a geometry-optimized Fe2CoWO6 structure at the GGA+U level of DFT.

The total magnetization is 11.02 μB/f.u. Its volume is 11.05 A^3/atom. The total energy comes out at -137.68 eV for the cell shown.

```
data_Fe2CoWO6
_cell_length_a 5.334
_cell_length_b 5.362
_cell_length_c 9.366
_cell_angle_alpha 90.00
_cell_angle_beta 124.42
_cell_angle_gamma 90.00
_space_group_name_H-M_alt 'P 1 21/c 1'
_space_group_IT_number 14
loop_
_space_group_symop_operation_xyz
'x,y,z'
'-x,-y,-z'
'-x,y+1/2,-z+1/2'
'x,-y+1/2,z+1/2'
loop_
_atom_site_label
_atom_site_type_symbol
_atom_site_fract_x
_atom_site_fract_y
_atom_site_fract_z
Fe1 Fe 0.238 0.038 0.232
Co1 Co 0.000 0.000 0.500
W1 W 0.500 0.000 0.000
O1 O 0.141 0.172 0.956
O2 O 0.259 0.695 0.917
O3 O 0.377 0.082 0.762
```